# Zr2InP

Zr2InP after structural relaxation (GGA-PBE, Alexandria via LeMat-Bulk).

```
data_Zr2InP
_chemical_formula_sum 'Zr4 In2 P2'
_cell_length_a 3.5300
_cell_length_b 3.5300
_cell_length_c 16.0376
_cell_angle_alpha 90.00
_cell_angle_beta 90.00
_cell_angle_gamma 120.00
_space_group_name_H-M_alt 'P 63/m m c'
_space_group_IT_number 194
_space_group_name_Hall '-P 6c 2c'
loop_
_atom_site_label
_atom_site_type_symbol
_atom_site_fract_x
_atom_site_fract_y
_atom_site_fract_z
Zr1 Zr 0.3333 0.6667 0.1471
In1 In 0.0000 0.0000 0.0000
P1 P 0.3333 0.6667 0.7500
```

## Properties
- Energy above the lowest structure with this stoichiometry: 104 meV per atom
- DFT formation energy: -2.99 eV/f.u.
- VASP energy: -7.06 eV per atom
- Total moment: 0.00 μB/atom



# VTc2HPt

VTc2HPt after structural relaxation (GGA-PBE, Alexandria via LeMat-Bulk).

```
data_VTc2HPt
_chemical_formula_sum 'V1 Tc2 H1 Pt1'
_cell_length_a 3.894
_cell_length_b 3.894
_cell_length_c 3.930
_cell_angle_alpha 90.00
_cell_angle_beta 90.00
_cell_angle_gamma 90.00
_space_group_name_H-M_alt 'P 4/m m m'
_space_group_IT_number 123
_space_group_name_Hall '-P 4 2'
loop_
_atom_site_label
_atom_site_type_symbol
_atom_site_fract_x
_atom_site_fract_y
_atom_site_fract_z
V1 V 0.000 0.000 0.000
Tc1 Tc 0.000 0.500 0.500
H1 H 0.000 0.000 0.500
Pt1 Pt 0.500 0.500 0.000
```

## Properties
- VASP energy: -8.07 eV per atom
- Total moment: 0.00 μB/atom



# PmMg2CoH8

PmMg2CoH8 after structural relaxation (GGA-PBE, Alexandria via LeMat-Bulk).

```
data_PmMg2CoH8
_chemical_formula_sum 'Pm1 Mg2 Co1 H8'
_cell_length_a 4.3188
_cell_length_b 4.3188
_cell_length_c 6.3894
_cell_angle_alpha 90.00
_cell_angle_beta 90.00
_cell_angle_gamma 120.00
_space_group_name_H-M_alt 'P -3 m 1'
_space_group_IT_number 164
_space_group_name_Hall '-P 3 2"'
loop_
_atom_site_label
_atom_site_type_symbol
_atom_site_fract_x
_atom_site_fract_y
_atom_site_fract_z
Pm1 Pm 0.0000 0.0000 0.0000
Mg1 Mg 0.3333 0.6667 0.3645
Co1 Co 0.0000 0.0000 0.5000
H1 H 0.1632 0.3264 0.6598
H2 H 0.3333 0.6667 0.0587
```

## Properties
- VASP energy: -3.81 eV per atom
- Total moment: 0.00 μB/atom



# La3SmAl2

La3SmAl2 after structural relaxation (GGA-PBE, Alexandria via LeMat-Bulk).

```
data_La3SmAl2
_chemical_formula_sum 'La6 Sm2 Al4'
_cell_length_a 5.314
_cell_length_b 9.965
_cell_length_c 6.810
_cell_angle_alpha 90.00
_cell_angle_beta 90.00
_cell_angle_gamma 90.00
_space_group_name_H-M_alt 'P m c 21'
_space_group_IT_number 26
loop_
_space_group_symop_operation_xyz
'x,y,z'
'-x,-y,z+1/2'
'-x,y,z'
'x,-y,z+1/2'
loop_
_atom_site_label
_atom_site_type_symbol
_atom_site_fract_x
_atom_site_fract_y
_atom_site_fract_z
La1 La 0.000 0.051 0.000
La2 La 0.000 0.330 0.332
La3 La 0.500 0.173 0.721
Sm1 Sm 0.500 0.449 0.045
Al1 Al 0.000 0.355 0.818
Al2 Al 0.500 0.151 0.235
```

## Properties
- DFT formation energy: -1.55 eV/f.u.
- VASP energy: -4.76 eV per atom
- Total moment: 0.00 μB/atom



# Ho2Zn5Pd4

Ho2Zn5Pd4 after structural relaxation (GGA-PBE, Alexandria via LeMat-Bulk).

```
data_Ho2Zn5Pd4
_chemical_formula_sum 'Ho8 Zn20 Pd16'
_cell_length_a 5.258
_cell_length_b 8.958
_cell_length_c 16.979
_cell_angle_alpha 90.00
_cell_angle_beta 90.00
_cell_angle_gamma 90.00
_space_group_name_H-M_alt 'F m m m'
_space_group_IT_number 69
_space_group_name_Hall '-F 2 2'
loop_
_atom_site_label
_atom_site_type_symbol
_atom_site_fract_x
_atom_site_fract_y
_atom_site_fract_z
Ho1 Ho 0.000 0.000 0.138
Zn1 Zn 0.000 0.000 0.500
Zn2 Zn 0.250 0.250 0.000
Zn3 Zn 0.250 0.250 0.250
Pd1 Pd 0.000 0.163 0.373
```

## Properties
- DFT formation energy: -6.63 eV/f.u.
- VASP energy: -3.90 eV per atom
- Total moment: 0.00 μB/atom



# Pr2Ni3As4Ir

Pr2Ni3As4Ir after structural relaxation (GGA-PBE, Alexandria via LeMat-Bulk).

```
data_Pr2Ni3As4Ir
_chemical_formula_sum 'Pr2 Ni3 As4 Ir1'
_cell_length_a 4.246
_cell_length_b 4.246
_cell_length_c 9.700
_cell_angle_alpha 90.00
_cell_angle_beta 90.00
_cell_angle_gamma 90.00
_space_group_name_H-M_alt 'P -4 m 2'
_space_group_IT_number 115
loop_
_space_group_symop_operation_xyz
'x,y,z'
'y,-x,-z'
'-x,-y,z'
'-y,x,-z'
'-x,y,z'
'-y,-x,-z'
'x,-y,z'
'y,x,-z'
loop_
_atom_site_label
_atom_site_type_symbol
_atom_site_fract_x
_atom_site_fract_y
_atom_site_fract_z
Pr1 Pr 0.000 0.500 0.247
Ni1 Ni 0.000 0.500 0.884
Ni2 Ni 0.500 0.500 0.500
As1 As 0.000 0.000 0.000
As2 As 0.000 0.500 0.637
As3 As 0.500 0.500 0.000
Ir1 Ir 0.000 0.000 0.500
```

## Properties
- DFT formation energy: -7.90 eV/f.u.
- VASP energy: -6.23 eV per atom
- Total moment: 0.00 μB/atom